VASP calculation (GGA-PBE) on Hf2TiHgC after structural relaxation.

* DFT formation energy: -469 meV/atom

abc: 4.5047 4.5047 4.2469
angles: 90.00 90.00 90.00
Each line ends with the local moment (μB).
Atoms (fractional coordinates):
1 Hf 0.0000 0.5000 0.0000  0.05
2 Hf 0.5000 0.0000 0.0000  0.05
3 Hg 0.5000 0.5000 0.5000  0.00
4 Ti 0.0000 0.0000 0.5000  0.37
5 C 0.0000 0.0000 0.0000  -0.01

VASP calculation (GGA-PBE) on Hf2VHgC after structural relaxation.

* DFT formation energy: -353 meV/atom

abc: 4.5348 4.5348 4.0462
angles: 90.00 90.00 90.00
Each line ends with the local moment (μB).
Atoms (fractional coordinates):
1 V 0.0000 0.0000 0.5000  0.85
2 Hf 0.0000 0.5000 0.0000  -0.01
3 Hf 0.5000 0.0000 0.0000  -0.01
4 Hg 0.5000 0.5000 0.5000  -0.02
5 C 0.0000 0.0000 0.0000  -0.03

VASP calculation (GGA-PBE) on Y2HfHgC after structural relaxation.

* DFT formation energy: -388 meV/atom

abc: 4.9112 4.9112 4.5106
angles: 90.00 90.00 90.00
Atoms (fractional coordinates):
1 Hf 0.0000 0.0000 0.5000
2 Y 0.5000 0.0000 0.0000
3 Y 0.0000 0.5000 0.0000
4 C 0.0000 0.0000 0.0000
5 Hg 0.5000 0.5000 0.5000

VASP calculation (GGA-PBE) on HfZr2HgC after structural relaxation.

* DFT formation energy: -463 meV/atom

abc: 4.5726 4.5726 4.5007
angles: 90.00 90.00 90.00
Atoms (fractional coordinates):
1 Hg 0.5000 0.5000 0.5000
2 Hf 0.0000 0.0000 0.5000
3 Zr 0.5000 0.0000 0.0000
4 Zr 0.0000 0.5000 0.0000
5 C 0.0000 0.0000 0.0000

VASP calculation (GGA-PBE) on HfZrHgC after structural relaxation.

* DFT formation energy: -594 meV/atom

abc: 3.3277 3.3278 7.7276
angles: 90.01 102.47 120.00
Atoms (fractional coordinates):
1 Hg 0.9675 0.3820 0.3638
2 C 0.3078 0.5518 0.8752
3 Zr 0.5235 0.1596 0.6991
4 Hf 0.0791 0.9375 0.0316

VASP calculation (GGA-PBE) on Hf2ZrHgC after structural relaxation.

* DFT formation energy: -458 meV/atom

abc: 4.5015 4.5015 4.5726
angles: 90.00 90.00 90.00
Atoms (fractional coordinates):
1 Hg 0.5000 0.5000 0.5000
2 Hf 0.5000 0.0000 0.0000
3 Hf 0.0000 0.5000 0.0000
4 C 0.0000 0.0000 0.0000
5 Zr 0.0000 0.0000 0.5000

VASP calculation (GGA-PBE) on HoHfC after structural relaxation.

* DFT formation energy: -370 meV/atom

abc: 6.7564 6.0420 6.0195
angles: 111.82 90.00 90.00
Atoms (fractional coordinates):
1 Hf 0.3706 0.7750 0.9923
2 Hf 0.8706 0.7250 0.0077
3 Hf 0.6294 0.2250 0.0077
4 Hf 0.1294 0.2750 0.9923
5 Ho 0.3826 0.2475 0.5193
6 Ho 0.6174 0.7525 0.4807
7 Ho 0.1174 0.7475 0.5193
8 Ho 0.8826 0.2525 0.4807
9 C 0.6284 0.9850 0.2126
10 C 0.8716 0.4850 0.2126
11 C 0.1284 0.5150 0.7874
12 C 0.3716 0.0150 0.7874

VASP calculation (GGA-PBE) on Ho2HfC after structural relaxation.

* DFT formation energy: 141 meV/atom

abc: 3.4003 3.4003 9.4184
angles: 79.60 79.60 60.00
Atoms (fractional coordinates):
1 Ho 0.1175 0.1175 0.6474
2 Ho 0.8825 0.8825 0.3526
3 C 0.5000 0.5000 0.5000
4 Hf 0.0000 0.0000 0.0000

VASP calculation (GGA-PBE) on HoHf2C after structural relaxation.

* DFT formation energy: -293 meV/atom

abc: 3.2883 3.2883 9.0536
angles: 79.54 79.54 60.00
Atoms (fractional coordinates):
1 Ho 0.0000 0.0000 0.0000
2 Hf 0.8794 0.8794 0.3618
3 Hf 0.1206 0.1206 0.6382
4 C 0.5000 0.5000 0.5000

VASP calculation (GGA-PBE) on HoHfC after structural relaxation.

* DFT formation energy: -402 meV/atom

abc: 5.7379 3.4077 3.4077
angles: 120.00 90.00 90.00
Atoms (fractional coordinates):
1 Ho 0.7597 0.6667 0.3333
2 Hf 0.2149 0.3333 0.6667
3 C 0.0254 0.0000 0.0000

VASP calculation (GGA-PBE) on HoHf2ReC4 after structural relaxation.

* DFT formation energy: -369 meV/atom

abc: 3.2979 6.0063 11.5580
angles: 90.00 90.00 105.93
Atoms (fractional coordinates):
1 Hf 0.6302 0.2603 0.0374
2 Hf 0.3698 0.7397 0.9626
3 Hf 0.6302 0.2603 0.4626
4 Hf 0.3698 0.7397 0.5374
5 C 0.5565 0.1131 0.2500
6 C 0.2619 0.5239 0.1184
7 C 0.0000 0.0000 0.0000
8 C 0.7381 0.4761 0.8816
9 C 0.7381 0.4761 0.6184
10 C 0.2619 0.5239 0.3816
11 C 0.0000 0.0000 0.5000
12 C 0.4435 0.8869 0.7500
13 Re 0.8415 0.6829 0.7500
14 Re 0.1585 0.3171 0.2500
15 Ho 0.1049 0.2097 0.7500
16 Ho 0.8951 0.7903 0.2500

VASP calculation (GGA-PBE) on Ho2Hf2Si2C after structural relaxation.

* energy relative to the elements, uncorrected: -0.6822 eV per atom

abc: 4.3526 4.3526 8.1259
angles: 105.53 105.53 90.00
Each line ends with the local moment (μB).
Atoms (fractional coordinates):
1 Hf 0.0000 0.5000 0.0000  0.05
2 Hf 0.5000 0.0000 0.0000  0.05
3 Ho 0.1684 0.1684 0.3368  0.08
4 Ho 0.8316 0.8316 0.6632  0.08
5 Si 0.6298 0.6298 0.2595  -0.01
6 Si 0.3702 0.3702 0.7405  -0.01
7 C 0.0000 0.0000 0.0000  0.00